#one
Density functional theory data (PBE) for crystalline MgTc at its relaxed geometry.

POSCAR file:
```
MgTc
1.0
4.367 0.000 0.000
0.000 8.491 2.184
0.000 -8.491 2.184
Mg Tc
5 5
Direct
0.000 0.000 0.000
0.000 0.393 0.605
0.000 0.605 0.393
0.500 0.104 0.892
0.500 0.892 0.104
0.000 0.211 0.786
0.000 0.786 0.211
0.500 0.288 0.708
0.500 0.498 0.498
0.500 0.708 0.288
```

Summary:
Symmetry ... Amm2, No. 38

***

#two
Density functional theory data (PBE) for crystalline MgTc at its relaxed geometry.

POSCAR file:
```
MgTc
1.0
5.686 0.000 0.000
0.000 15.104 0.000
0.000 0.000 4.543
Mg Tc
12 12
Direct
0.065 0.189 0.250
0.065 0.311 0.750
0.212 0.625 0.750
0.212 0.875 0.250
0.318 0.135 0.750
0.318 0.365 0.250
0.682 0.635 0.750
0.682 0.865 0.250
0.788 0.125 0.750
0.788 0.375 0.250
0.935 0.689 0.250
0.935 0.811 0.750
0.093 0.521 0.250
0.093 0.979 0.750
0.430 0.042 0.250
0.430 0.458 0.750
0.432 0.699 0.250
0.432 0.801 0.750
0.568 0.199 0.250
0.568 0.301 0.750
0.570 0.542 0.250
0.570 0.958 0.750
0.907 0.021 0.250
0.907 0.479 0.750
```

Summary:
Symmetry ... Pbcm, No. 57

***

Tell me which of them is the most stable. Sure, it is #one.

***

#one
Density functional theory data (PBE) for crystalline ThNb at its relaxed geometry.

POSCAR file:
```
ThNb
1.0
3.224 0.000 0.000
-1.612 2.792 0.000
0.000 0.000 5.439
Th Nb
1 1
Direct
0.000 0.000 0.000
0.333 0.667 0.500
```

Summary:
Symmetry ... P-6m2, No. 187

***

#two
Density functional theory data (PBE) for crystalline ThNb at its relaxed geometry.

POSCAR file:
```
ThNb
1.0
0.000 3.151 3.151
3.151 0.000 3.151
3.151 3.151 0.000
Th Nb
1 1
Direct
0.000 0.000 0.000
0.250 0.250 0.250
```

Summary:
Symmetry ... F-43m, No. 216

***

Tell me which of them is the most stable. Sure, it is #one.